Below is NaSrVF6 after structural relaxation, with properties calculated at the GGA+U level.

The structure in POSCAR format:
```
NaSrVF6
1.0
5.472 0.000 0.000
0.000 9.602 0.000
0.000 0.000 10.543
Na F V Sr
4 24 4 4
direct
0.960 0.152 0.414
0.040 0.652 0.086
0.540 0.848 0.914
0.460 0.348 0.586
0.294 0.989 0.791
0.217 0.143 0.584
0.283 0.857 0.084
0.145 0.492 0.534
0.206 0.011 0.291
0.328 0.662 0.815
0.706 0.489 0.709
0.355 0.508 0.034
0.717 0.357 0.416
0.855 0.992 0.966
0.782 0.658 0.447
0.282 0.842 0.553
0.712 0.873 0.701
0.212 0.627 0.299
0.783 0.643 0.916
0.828 0.838 0.185
0.288 0.373 0.799
0.218 0.158 0.053
0.788 0.127 0.201
0.718 0.342 0.947
0.794 0.511 0.209
0.672 0.162 0.685
0.645 0.008 0.466
0.172 0.338 0.315
0.969 0.498 0.372
0.531 0.502 0.872
0.469 0.002 0.628
0.031 0.998 0.128
0.990 0.683 0.669
0.010 0.183 0.831
0.490 0.817 0.331
0.510 0.317 0.169
```

The value obtained for the calculated volume is 15.4 A^3/atom. The excess energy over the best structure of this formula in the dataset is 0.000 eV per atom. For the density of states at the Fermi level, the calculation gives 0.00 states/eV per cell.